Record 1
Here is a geometry-optimized MgMnAg2 structure from Alexandria. Energies are from GGA-PBE.

Structure (POSCAR):
```
MgMnAg2
1.0
-2.5657 2.8914 -1.0581
-3.0022 -2.0438 1.6948
-1.1394 4.9438 8.6821
Mn Ag Mg
2 4 2
direct
0.7500 0.2500 0.5000
0.0000 0.0000 0.0000
0.1230 0.6250 0.2500
0.3750 0.3730 0.7500
0.6270 0.1250 0.2500
0.8750 0.8770 0.7500
0.2500 0.7500 0.5000
0.5000 0.5000 0.0000
```

- ρ: 6.32 g/cm³
- Energy of formation: 401 meV/atom

=====

Record 2
Here is a geometry-optimized Re2SbTe structure from Alexandria. Energies are from GGA-PBE.

Structure (POSCAR):
```
Re2SbTe
1.0
-2.2446 -4.9880 2.5866
5.4983 -2.5236 -0.0953
2.7491 -1.5111 6.5482
Sb Re Te
2 4 2
direct
0.2500 0.7500 0.5000
0.5000 0.5000 0.0000
0.6293 0.1250 0.2500
0.1207 0.6250 0.2500
0.8750 0.8793 0.7500
0.3750 0.3707 0.7500
0.7500 0.2500 0.5000
0.0000 0.0000 0.0000
```

- Formation energy (no corrections): 1.30 eV per atom
- ρ: 9.61 g/cm³
- Energy relative to the lowest polymorph listed for this composition: 995 meV per atom